Compound: Zr2NiAs
Source: the Alexandria database
Functional: PBE
Structure: relaxed

Summary:
DFT formation energy: -532.8 meV per atom
M_tot: 0.000 μB/f.u.
E_tot: -7.415 eV per atom

Lattice parameters (Å, degrees): 4.8447 4.8447 4.8447 126.96 126.96 78.32
With the nearest neighbours (Å) after each atom.
Element x y z (fractional)
Zr1 0.2500 0.7500 0.5000  4 As 2.86, 4 Ni 2.86, 4 Zr 3.06
Zr2 0.7500 0.2500 0.5000  4 As 2.86, 4 Ni 2.86, 4 Zr 3.06
Ni1 0.0000 0.0000 0.0000  8 Zr 2.86, 4 As 3.06
As1 0.5000 0.5000 0.0000  8 Zr 2.86, 4 Ni 3.06

=====

Compound: K2ReHg
Source: the Alexandria database
Functional: PBE
Structure: relaxed

Summary:
DFT formation energy: 998.2 meV per atom
M_tot: 1.727 μB/f.u.
E_tot: -2.738 eV per atom

Lattice parameters (Å, degrees): 6.7269 6.7269 6.4445 105.44 105.44 24.29
With the nearest neighbours (Å) after each atom.
Element x y z (fractional)
K1 0.0000 0.0000 0.0000  2 K 2.83
K2 0.1929 0.1929 0.6147  2 K 2.83
Re1 0.7633 0.7633 0.1504  2 Re 2.83, 2 Hg 2.88
Hg1 0.4280 0.4280 0.4589  2 Hg 2.83, 2 Re 2.88

=====

Compound: HoZrCoRu
Source: the Alexandria database
Functional: PBE
Structure: relaxed

Summary:
offset from the most stable computed form: 43 meV per atom
DFT formation energy: -360.7 meV per atom
M_tot: 0.486 μB/f.u.
E_tot: -7.738 eV per atom

Lattice parameters (Å, degrees): 4.6612 4.6612 4.6612 60.00 60.00 60.00
With the nearest neighbours (Å) after each atom.
Element x y z (fractional)
Ho1 0.0000 0.0000 0.0000  4 Ru 2.85, 4 Co 2.85
Zr1 0.5000 0.5000 0.5000  4 Co 2.85, 4 Ru 2.85
Co1 0.2500 0.2500 0.2500  4 Zr 2.85, 4 Ho 2.85
Ru1 0.7500 0.7500 0.7500  4 Zr 2.85, 4 Ho 2.85

=====

Compound: ZrAgTeN2
Source: the Alexandria database
Functional: PBE
Structure: relaxed

Summary:
ΔE_f (raw): 1.506 eV/atom
offset from the most stable computed form: 1079 meV per atom
M_tot: 0.002 μB/f.u.
E_tot: -4.732 eV per atom

Lattice parameters (Å, degrees): 4.1983 4.1983 5.1688 90.00 90.00 90.00
With the nearest neighbours (Å) after each atom.
Element x y z (fractional)
Zr1 0.0000 0.0000 0.0000  4 Te 2.97
Ag1 0.5000 0.5000 0.5000  4 N 2.10
Te1 0.5000 0.5000 0.0000  2 Ag 2.58
N1 0.0000 0.5000 0.5000  2 Ag 2.10
N2 0.5000 0.0000 0.5000  2 Ag 2.10

=====

Compound: CeTmP2
Source: the Alexandria database
Functional: PBE
Structure: relaxed

Summary:
offset from the most stable computed form: 58 meV per atom
DFT formation energy: -1492.6 meV per atom
M_tot: 0.375 μB/f.u.
E_tot: -6.799 eV per atom

Lattice parameters (Å, degrees): 4.0091 4.0091 13.0916 90.00 90.00 120.00
With the nearest neighbours (Å) after each atom.
Element x y z (fractional)
Ce1 0.0000 0.0000 0.0000  6 P 2.85
Ce2 0.0000 0.0000 0.5000  6 P 2.85
Tm1 0.3333 0.6667 0.2500  6 P 2.82
Tm2 0.6667 0.3333 0.7500  6 P 2.82
P1 0.3333 0.6667 0.6266  3 Tm 2.82, 3 Ce 2.85
P2 0.3333 0.6667 0.8734  3 Tm 2.82, 3 Ce 2.85
P3 0.6667 0.3333 0.1266  3 Tm 2.82, 3 Ce 2.85
P4 0.6667 0.3333 0.3734  3 Tm 2.82, 3 Ce 2.85

=====

Compound: Sr3TlCu4Br12
Source: the Alexandria database
Functional: PBE
Structure: relaxed

Summary:
ΔE_f (raw): -1.123 eV/atom
M_tot: 1.174 μB/f.u.
E_tot: -3.317 eV per atom

Lattice parameters (Å, degrees): 9.5430 9.5430 9.5430 104.66 104.66 104.66
With the nearest neighbours (Å) after each atom.
Element x y z (fractional)
Sr1 0.0000 0.5505 0.4495  6 Br 3.05-3.11
Sr2 0.4495 0.0000 0.5505  6 Br 3.05-3.11
Sr3 0.5505 0.4495 0.0000  6 Br 3.05-3.11
Tl1 0.0000 0.0000 0.0000  6 Br 3.49
Cu1 0.0625 0.5000 0.9375  3 Br 2.34-2.43
Cu2 0.5000 0.5000 0.5000  3 Br 2.35
Cu3 0.5000 0.9375 0.0625  3 Br 2.34-2.43
Cu4 0.9375 0.0625 0.5000  3 Br 2.34-2.43
Br1 0.0174 0.6528 0.7863  1 Cu 2.34
Br2 0.0986 0.9014 0.5000  1 Cu 2.43
Br3 0.2137 0.3472 0.9826  1 Cu 2.34
Br4 0.3445 0.6555 0.5000  1 Cu 2.35
Br5 0.3472 0.9826 0.2137  1 Cu 2.34
Br6 0.5000 0.0986 0.9014  1 Cu 2.43
Br7 0.5000 0.3445 0.6555  1 Cu 2.35
Br8 0.6528 0.7863 0.0174  1 Cu 2.34
Br9 0.6555 0.5000 0.3445  1 Cu 2.35
Br10 0.7863 0.0174 0.6528  1 Cu 2.34
Br11 0.9014 0.5000 0.0986  1 Cu 2.43
Br12 0.9826 0.2137 0.3472  1 Cu 2.34

=====

Compound: YNbB2Pb
Source: the Alexandria database
Functional: PBE
Structure: relaxed

Summary:
DFT formation energy: 1979.2 meV per atom
M_tot: 0.000 μB/f.u.
E_tot: -4.740 eV per atom

Lattice parameters (Å, degrees): 4.6535 4.6535 5.2781 90.00 90.00 90.00
With the nearest neighbours (Å) after each atom.
Element x y z (fractional)
Y1 0.0000 0.0000 0.0000  4 B 2.33
Nb1 0.0000 0.0000 0.5000  2 Y 2.64
B1 0.0000 0.5000 0.0000  2 Y 2.33
B2 0.5000 0.0000 0.0000  2 Y 2.33
Pb1 0.5000 0.5000 0.5000  4 Nb 3.29, 8 B 3.52

=====

Compound: NaHoZnHg
Source: the Alexandria database
Functional: PBE
Structure: relaxed

Summary:
DFT formation energy: -188.6 meV per atom
M_tot: 0.000 μB/f.u.
E_tot: -2.057 eV per atom

Lattice parameters (Å, degrees): 5.0630 5.0630 5.0630 60.00 60.00 60.00
With the nearest neighbours (Å) after each atom.
Element x y z (fractional)
Na1 0.0000 0.0000 0.0000  4 Hg 3.10, 4 Zn 3.10
Ho1 0.5000 0.5000 0.5000  4 Zn 3.10, 4 Hg 3.10
Zn1 0.2500 0.2500 0.2500  4 Ho 3.10, 4 Na 3.10
Hg1 0.7500 0.7500 0.7500  4 Ho 3.10, 4 Na 3.10